First-principles (meta-GGA SCAN) data for a PBEsol-optimized structure of Y2FeCo, as listed in Alexandria.

Cell and atoms, written as POSCAR:
```
Y2FeCo
1.0
3.809 0.000 0.000
0.000 4.123 0.000
0.000 -2.061 4.981
Y Co Fe
2 1 1
direct
0.000 0.979 0.958
0.500 0.271 0.541
0.000 0.679 0.357
0.500 0.572 0.145
```

Summary:
- Energy of formation: -2 kJ per mole of atoms
- Uncorrected energy: -22.804 eV per atom
- Relative energy among the computed polymorphs: 0.23 eV/f.u.

***

First-principles (meta-GGA SCAN) data for a PBEsol-optimized structure of PtRhAu2, as listed in Alexandria.

Cell and atoms, written as POSCAR:
```
PtRhAu2
1.0
2.787 0.000 0.000
0.000 4.755 0.000
-1.393 -2.378 4.743
Au Pt Rh
2 1 1
direct
0.994 0.994 0.989
0.754 0.254 0.509
0.508 0.508 0.017
0.243 0.743 0.486
```

Summary:
- Energy of formation: 15 kJ per mole of atoms
- Uncorrected energy: -60.414 eV per atom
- Relative energy among the computed polymorphs: 0.40 eV/f.u.

***

First-principles (meta-GGA SCAN) data for a PBEsol-optimized structure of LiCl2, as listed in Alexandria.

Cell and atoms, written as POSCAR:
```
LiCl2
1.0
-2.600 -1.434 4.303
-2.889 -0.406 -4.339
4.095 -3.089 -1.012
Cl Li
4 2
direct
0.500 0.838 0.662
0.500 0.162 0.338
0.176 0.338 0.838
0.824 0.662 0.162
0.000 0.250 0.250
0.000 0.750 0.750
```

Summary:
- Formation energy without anion corrections: -2.9 eV/f.u.
- Uncorrected energy: -7.083 eV per atom
- Relative energy among the computed polymorphs: 0.85 eV/f.u.

***

> Among the records above, which one has the lowest relative energy among the computed polymorphs?

Y2FeCo